[1]
A plane-wave DFT calculation with GGA-PBE was carried out for an optimized crystal structure of BaVH.

abc: 4.4255 5.6181 6.6045
angles: 113.11 90.31 113.11
Space group P1 (No. 1)
Symmetry-distinct sites (fractional):
Ba  0.0000  0.0000  0.0000
Ba  0.1723  0.3379  0.6140
V  0.3718  0.7486  0.3108
V  0.7923  0.5900  0.3043
H  0.1416  0.7986  0.5542
H  0.5092  0.5406  0.0610

Computed properties:
- mass density (g/cm3) = 4.6
- polymorph energy (0 for the lowest one) (meV/atom) = 43

[2]
A plane-wave DFT calculation with GGA-PBE was carried out for an optimized crystal structure of Dy2ErZr.

abc: 4.8528 4.8528 4.8377
angles: 90.00 90.00 90.00
Space group P4/mmm (No. 123)
Symmetry-distinct sites (fractional):
Dy  0.0000  0.5000  0.0000
Er  0.0000  0.0000  0.5000
Zr  0.5000  0.5000  0.5000

Computed properties:
- ΔH_f (0 K) (eV/atom) = 0.088
- mass density (g/cm3) = 8.5
- polymorph energy (0 for the lowest one) (meV/atom) = 14

[3]
A plane-wave DFT calculation with GGA-PBE was carried out for an optimized crystal structure of PmGe2TeO8.

abc: 7.0924 7.0924 6.3858
angles: 90.00 90.00 90.00
Space group I-4m2 (No. 119)
Symmetry-distinct sites (fractional):
Pm  0.0000  0.0000  0.0000
Ge  0.0000  0.0000  0.5000
Ge  0.0000  0.5000  0.7500
Te  0.0000  0.5000  0.2500
O  0.0000  0.1906  0.3168
O  0.0000  0.3256  0.9490

Computed properties:
- mass density (g/cm3) = 5.6
- formation energy from raw total energies (eV per atom) = -1.69

[4]
A plane-wave DFT calculation with GGA-PBE was carried out for an optimized crystal structure of Ac4NiAgI2.

abc: 7.8757 4.4873 8.9144
angles: 90.00 106.95 90.00
Space group P2/m (No. 10)
Symmetry-distinct sites (fractional):
Ac  0.2156  0.0000  0.1883
Ac  0.2419  0.5000  0.8063
Ni  0.0000  0.5000  0.0000
Ag  0.5000  0.0000  0.0000
I  0.0000  0.0000  0.5000
I  0.5000  0.5000  0.5000

Computed properties:
- mass density (g/cm3) = 7.3
- formation energy from raw total energies (eV per atom) = -0.63

[5]
A plane-wave DFT calculation with GGA-PBE was carried out for an optimized crystal structure of Pr6Ir2RhCl3.

abc: 7.1864 12.4508 7.9730
angles: 90.00 107.47 90.00
Space group C2/m (No. 12)
Symmetry-distinct sites (fractional):
Pr  0.2339  0.0000  0.2044
Pr  0.2351  0.3329  0.2044
Ir  0.0000  0.1666  0.0000
Rh  0.0000  0.5000  0.0000
Cl  0.0000  0.0000  0.5000
Cl  0.0000  0.3328  0.5000

Computed properties:
- mass density (g/cm3) = 7.0
- formation energy from raw total energies (eV per atom) = -1.18

[6]
A plane-wave DFT calculation with GGA-PBE was carried out for an optimized crystal structure of KNa2Tl.

abc: 5.4623 5.4623 4.9324
angles: 90.00 90.00 90.00
Space group P4/mmm (No. 123)
Symmetry-distinct sites (fractional):
K  0.0000  0.0000  0.0000
Na  0.0000  0.5000  0.5000
Tl  0.5000  0.5000  0.0000

Computed properties:
- ΔH_f (0 K) (eV/atom) = -0.016
- mass density (g/cm3) = 3.3
- polymorph energy (0 for the lowest one) (meV/atom) = 38

Question: Number 6 is which compound?
Answer: KNa2Tl

Question: Which formula does entry 2 have?
Answer: Dy2ErZr